Compound: RbAs4Cl12
Source: Alexandria
Functional: PBE
Structure: optimized geometry

The uncorrected energy is -3.129 eV/atom. The space group is Im-3, No. 204. As for the formation energy without anion corrections: -674 meV per atom. For the volume, the calculation gives 488.7 Å³/cell. As for the crystal system: cubic.

Cell lengths 8.594, 8.594, 8.594 Å; angles 109.47, 109.47, 109.47 degrees
Fractional positions:
Rb1 0.000 0.000 0.000
As1 0.000 0.500 0.000
As2 0.500 0.000 0.000
As3 0.500 0.500 0.500
As4 0.000 0.000 0.500
Cl1 0.789 0.283 0.072
Cl2 0.283 0.494 0.211
Cl3 0.928 0.211 0.717
Cl4 0.283 0.072 0.789
Cl5 0.072 0.789 0.283
Cl6 0.717 0.506 0.789
Cl7 0.494 0.211 0.283
Cl8 0.506 0.789 0.717
Cl9 0.717 0.928 0.211
Cl10 0.789 0.717 0.506
Cl11 0.211 0.283 0.494
Cl12 0.211 0.717 0.928